Computed, not measured: a relaxed structure of LaHoSc at the PBE level of DFT.

E_form: 0.1270 eV/atom
relative energy among the computed polymorphs: 0.224 eV per formula unit
raw total energy: -5.15 eV/atom

```
LaHoSc
1.0
3.372 0.000 0.000
0.000 5.577 0.000
0.000 -2.788 4.830
La Sc Ho
1 1 1
direct
0.167 0.000 0.000 La
0.666 0.667 0.333 Sc
0.167 0.333 0.667 Ho
```